[1]
A geometry-optimized Tm3NiRh structure, computed with GGA-PBE.

Output
* energy relative to the lowest polymorph listed for this composition: 0 meV/atom
* D(E_F): 6.446 states/eV per cell
* ΔE_f: -608 meV per atom

Cell lengths 7.3418, 3.9214, 8.1036 Å; angles 90.00, 108.95, 90.00 degrees
Last column: nearest neighbours and their distance in Å.
Space group P2_1/m (No. 11)
Inequivalent atoms, fractional coordinates:
Tm 0.0925 0.2500 0.2406 [2 per cell]  3 Ni 2.84-2.89, 2 Rh 2.90
Tm 0.3089 0.2500 0.9325 [2 per cell]  1 Ni 2.81, 3 Rh 2.85-2.92
Tm 0.3604 0.7500 0.6005 [2 per cell]  2 Rh 2.90, 3 Ni 2.92-2.97
Ni 0.0603 0.2500 0.5864 [2 per cell]  2 Ni 2.40
Rh 0.3649 0.7500 0.1992 [2 per cell]  7 Tm 2.85-2.92

[2]
A geometry-optimized Pm6Tl5In structure, computed with GGA-PBE.

Output
* energy relative to the lowest polymorph listed for this composition: 0 meV/atom
* D(E_F): 8.865 states/eV per cell
* ΔE_f: -405 meV per atom

Cell lengths 5.4927, 7.7118, 8.6756 Å; angles 90.00, 108.16, 90.00 degrees
Last column: nearest neighbours and their distance in Å.
Space group P2/m (No. 10)
Inequivalent atoms, fractional coordinates:
Pm 0.0000 0.2491 0.0000 [2 per cell]  2 In 3.35, 6 Tl 3.36
Pm 0.3337 0.2495 0.6677 [4 per cell]  1 In 3.35, 7 Tl 3.35-3.36
Tl 0.1671 0.0000 0.3337 [2 per cell]  8 Pm 3.35-3.36
Tl 0.1670 0.5000 0.3339 [2 per cell]  8 Pm 3.36
Tl 0.5000 0.5000 0.0000 [1 per cell]  8 Pm 3.35-3.36
In 0.5000 0.0000 0.0000 [1 per cell]  8 Pm 3.35

[3]
A geometry-optimized K2ZnSe structure, computed with GGA-PBE.

Output
* energy relative to the lowest polymorph listed for this composition: 277 meV/atom
* formation energy from raw total energies: -327 meV/atom
* D(E_F): 0.000 states/eV per cell

Cell lengths 6.4393, 6.4393, 19.0639 Å; angles 90.00, 90.00, 90.00 degrees
Last column: nearest neighbours and their distance in Å.
Space group I-42d (No. 122)
Inequivalent atoms, fractional coordinates:
K 0.1877 0.2500 0.1250 [8 per cell]  2 Se 3.12
Zn 0.0000 0.0000 0.5000 [4 per cell]  4 K 3.51
Se 0.0000 0.0000 0.0000 [4 per cell]  4 K 3.12

[4]
A geometry-optimized Sr2BePPd6 structure, computed with GGA-PBE.

Output
* D(E_F): 8.001 states/eV per cell
* ΔE_f: -623 meV per atom

Cell lengths 10.9940, 6.3580, 6.5758 Å; angles 90.00, 123.83, 90.00 degrees
Last column: nearest neighbours and their distance in Å.
Space group C2/m (No. 12)
Inequivalent atoms, fractional coordinates:
Sr 0.2231 0.0000 0.1691 [4 per cell]  12 Pd 3.24-3.35
Be 0.0000 0.0000 0.5000 [2 per cell]  6 Pd 2.25-2.26
P 0.0000 0.5000 0.0000 [2 per cell]  6 Pd 2.39
Pd 0.0321 0.2765 0.3193 [8 per cell]  1 Be 2.26, 1 P 2.39
Pd 0.2445 0.0000 0.6803 [4 per cell]  1 Be 2.25, 1 P 2.39

[5]
A geometry-optimized Li7Ga2Ag structure, computed with GGA-PBE.

Output
* energy relative to the lowest polymorph listed for this composition: 0 meV/atom
* D(E_F): 3.514 states/eV per cell
* ΔE_f: -123 meV per atom

Cell lengths 4.4923, 4.4923, 9.5499 Å; angles 90.00, 90.00, 120.00 degrees
Last column: nearest neighbours and their distance in Å.
Space group P3m1 (No. 156)
Inequivalent atoms, fractional coordinates:
Li 0.0000 0.0000 0.0000 [1 per cell]  1 Li 2.23, 1 Ga 2.48
Li 0.0000 0.0000 0.2340 [1 per cell]  2 Li 2.23-2.34
Li 0.0000 0.0000 0.4791 [1 per cell]  1 Li 2.34, 1 Ga 2.49
Li 0.3333 0.6667 0.6136 [1 per cell]  3 Ga 2.86, 7 Li 2.89-3.16
Li 0.3333 0.6667 0.9441 [1 per cell]  3 Li 2.65
Li 0.6667 0.3333 0.4053 [1 per cell]  1 Ag 2.68, 3 Li 2.69, 3 Ga 2.91
Li 0.6667 0.3333 0.7908 [1 per cell]  3 Ga 2.64
Ga 0.0000 0.0000 0.7400 [1 per cell]  5 Li 2.48-2.64
Ga 0.3333 0.6667 0.2666 [1 per cell]  6 Li 2.61-2.91
Ag 0.6667 0.3333 0.1245 [1 per cell]  7 Li 2.68-2.85, 3 Ga 2.93

[6]
A geometry-optimized GaI2NCl structure, computed with GGA-PBE.

Output
* energy relative to the lowest polymorph listed for this composition: 0 meV/atom
* formation energy from raw total energies: 592 meV/atom
* D(E_F): 7.926 states/eV per cell

Cell lengths 6.2743, 6.2743, 3.4499 Å; angles 90.00, 90.00, 90.00 degrees
Last column: nearest neighbours and their distance in Å.
Space group P4/mmm (No. 123)
Inequivalent atoms, fractional coordinates:
Ga 0.0000 0.0000 0.0000 [1 per cell]  2 N 1.72
I 0.0000 0.5000 0.0000 [2 per cell]  2 Ga 3.14, 2 I 3.45
N 0.0000 0.0000 0.5000 [1 per cell]  2 Ga 1.72
Cl 0.5000 0.5000 0.5000 [1 per cell]  2 Cl 3.45, 8 I 3.58

[7]
A geometry-optimized Tm6CuTc2 structure, computed with GGA-PBE.

Output
* D(E_F): 38.174 states/eV per cell
* ΔE_f: -118 meV per atom

Cell lengths 9.2819, 9.3944, 10.0133 Å; angles 90.00, 90.00, 90.00 degrees
Last column: nearest neighbours and their distance in Å.
Space group Immm (No. 71)
Inequivalent atoms, fractional coordinates:
Tm 0.0000 0.1882 0.1657 [8 per cell]  3 Tc 2.81-2.95
Tm 0.1793 0.2341 0.5000 [8 per cell]  3 Tc 2.81-2.99, 1 Cu 3.00
Tm 0.1943 0.5000 0.2451 [8 per cell]  2 Tc 2.80-3.12, 2 Cu 3.05-3.13
Cu 0.0000 0.5000 0.0000 [2 per cell]  8 Tm 3.05-3.37
Cu 0.0000 0.5000 0.5000 [2 per cell]  2 Tc 2.96, 8 Tm 3.00-3.13
Tc 0.0000 0.0000 0.3842 [4 per cell]  1 Tc 2.32
Tc 0.1811 0.0000 0.0000 [4 per cell]  8 Tm 2.80-2.95, 1 Cu 2.96

[8]
A geometry-optimized MnSiSe2Br structure, computed with GGA-PBE.

Output
* energy relative to the lowest polymorph listed for this composition: 0 meV/atom
* formation energy from raw total energies: 297 meV/atom
* D(E_F): 1.122 states/eV per cell

Cell lengths 4.9022, 4.9022, 4.9806 Å; angles 90.00, 90.00, 90.00 degrees
Last column: nearest neighbours and their distance in Å.
Space group P4/mmm (No. 123)
Inequivalent atoms, fractional coordinates:
Mn 0.0000 0.0000 0.0000 [1 per cell]  4 Br 3.47, 8 Se 3.49
Si 0.5000 0.5000 0.5000 [1 per cell]  4 Se 2.45, 2 Br 2.49
Se 0.0000 0.5000 0.5000 [2 per cell]  2 Si 2.45
Br 0.5000 0.5000 0.0000 [1 per cell]  2 Si 2.49

[9]
A geometry-optimized Y2TlW structure, computed with GGA-PBE.

Output
* energy relative to the lowest polymorph listed for this composition: 109 meV/atom
* D(E_F): 5.880 states/eV per cell
* ΔE_f: 313 meV per atom

Cell lengths 3.2669, 5.3252, 5.5583 Å; angles 90.00, 90.00, 90.00 degrees
Last column: nearest neighbours and their distance in Å.
Space group Pmm2 (No. 25)
Inequivalent atoms, fractional coordinates:
Y 0.0000 0.0000 0.0000 [1 per cell]  4 W 3.14-3.30, 4 Tl 3.19, 4 Y 3.27-3.50
Y 0.0000 0.5000 0.4089 [1 per cell]  4 Tl 3.12-3.33, 4 W 3.18, 2 Y 3.27
Tl 0.5000 0.5000 0.8871 [1 per cell]  8 Y 3.12-3.33, 2 Tl 3.27, 2 W 3.37
W 0.5000 0.0000 0.5165 [1 per cell]  8 Y 3.14-3.30, 2 W 3.27, 2 Tl 3.37

[10]
A geometry-optimized Cs4HfO4 structure, computed with GGA-PBE.

Output
* energy relative to the lowest polymorph listed for this composition: 119 meV/atom
* formation energy from raw total energies: -1930 meV/atom
* D(E_F): 0.000 states/eV per cell

Cell lengths 6.6906, 6.6906, 11.4904 Å; angles 90.00, 90.00, 90.00 degrees
Last column: nearest neighbours and their distance in Å.
Space group I-42m (No. 121)
Inequivalent atoms, fractional coordinates:
Cs 0.1946 0.1946 0.3514 [8 per cell]  2 O 2.89-3.14
Hf 0.0000 0.0000 0.0000 [2 per cell]  4 O 1.98
O 0.1691 0.1691 0.1011 [8 per cell]  1 Hf 1.98

[11]
A geometry-optimized Sr3AsRh structure, computed with GGA-PBE.

Output
* energy relative to the lowest polymorph listed for this composition: 0 meV/atom
* D(E_F): 0.611 states/eV per cell
* ΔE_f: -325 meV per atom

Cell lengths 5.5886, 5.5886, 5.5886 Å; angles 90.00, 90.00, 90.00 degrees
Last column: nearest neighbours and their distance in Å.
Space group Pm-3m (No. 221)
Inequivalent atoms, fractional coordinates:
Sr 0.0000 0.0000 0.5000 [3 per cell]  2 Rh 2.79
As 0.5000 0.5000 0.5000 [1 per cell]  12 Sr 3.95
Rh 0.0000 0.0000 0.0000 [1 per cell]  6 Sr 2.79

[12]
A geometry-optimized Pm5CdIn2Ir2 structure, computed with GGA-PBE.

Output
* D(E_F): 13.469 states/eV per cell
* ΔE_f: -480 meV per atom

Cell lengths 12.0705, 12.0705, 3.8149 Å; angles 90.00, 90.00, 90.00 degrees
Last column: nearest neighbours and their distance in Å.
Space group P4/mbm (No. 127)
Inequivalent atoms, fractional coordinates:
Pm 0.0000 0.5000 0.0000 [2 per cell]  4 Ir 2.95
Pm 0.0739 0.2073 0.0000 [8 per cell]  2 Ir 2.81
Cd 0.0000 0.0000 0.5000 [2 per cell]  8 Pm 3.27
In 0.1778 0.6778 0.5000 [4 per cell]  1 Ir 3.25, 6 Pm 3.57-3.59
Ir 0.1319 0.3681 0.5000 [4 per cell]  6 Pm 2.81-2.95

Q: What is the formula in the fifth record?
A: Li7Ga2Ag